Version one
PmDy8Tm2 PBE optimized geometry; M_tot = 0.00 μB per formula unit; D(E_F) = 15.6 states/eV/f.u.
1.0
5.2547 0.0000 -1.5956
-0.9925 7.3497 -3.2686
-0.0458 -0.3388 9.2994
Dy Tm Pm
8 2 1
Cartesian
-0.6992 5.1786 -2.3027
0.6838 1.0946 2.2520
2.9160 3.0875 0.1529
2.5068 6.1197 -1.1948
1.7096 0.8913 5.6301
1.3004 3.9234 4.2824
4.9156 1.8323 6.7380
3.5325 5.9163 2.1833
0.3361 5.0061 1.1070
3.8802 2.0048 3.3282
2.6273 0.0000 -0.7978

Version two
PmDy8Tm2 PBE optimized geometry; M_tot = 0.00 μB per formula unit; D(E_F) = 17.8 states/eV/f.u.
1.0
-3.4277 -3.2124 2.8951
8.1034 -5.5771 2.4841
7.2439 -0.5134 7.0853
Dy Tm Pm
8 2 1
Cartesian
4.8975 -4.2724 3.2028
7.5790 -4.0935 5.9207
2.0999 -1.8974 2.4804
9.8197 -7.4055 9.9841
4.4960 -1.9069 5.3523
7.0221 -5.0305 9.2618
4.3406 -5.2094 6.5438
7.4236 -7.3961 7.1123
10.1208 -5.1644 7.5739
1.7989 -4.1386 4.8906
0.0000 0.0000 0.0000

Calculated relative energies: version one 0; version two 35, given in meV/atom

Version one
Pm3DyTm2 PBE optimized geometry; M_tot = 0.00 μB per formula unit; D(E_F) = 7.7 states/eV/f.u.
1.0
-6.5231 0.8887 2.9465
-2.6643 -1.3669 -5.4860
3.9892 -8.3521 2.5227
Dy Pm Tm
2 6 4
Cartesian
-3.1266 -0.0065 -0.2601
-6.0608 -0.4717 -2.2794
-2.8339 -0.9113 -3.7370
-6.1875 -6.0281 -0.8425
-3.2226 -5.5670 1.1630
-6.3534 0.4331 1.1975
-1.9756 -3.2633 -1.1797
0.9893 -2.8023 0.8258
-5.2333 -2.7997 0.2724
-2.2860 -2.3362 2.2858
-2.9122 -6.4941 -2.3026
0.0351 -6.0307 -0.2891

Version two
Pm3DyTm2 PBE optimized geometry; M_tot = 0.00 μB per formula unit; D(E_F) = 10.3 states/eV/f.u.
1.0
0.6611 0.0577 3.5823
-7.6157 -3.4787 1.4754
3.7303 -12.7202 6.9264
Tm Dy Pm
4 2 6
Cartesian
-0.2868 -12.7060 9.5286
0.7522 -7.3833 5.5438
-2.9374 -3.4351 2.4556
-3.9764 -8.7579 6.4403
-0.7665 -9.7083 7.7115
-2.4577 -6.4329 4.2726
-5.7436 -5.4740 3.0172
0.3515 -4.4057 3.7117
2.5194 -10.6671 8.9670
-3.5757 -11.7354 8.2725
-2.4195 -15.1236 8.1078
-0.8047 -1.0175 3.8764

Calculated relative energies: version one 0; version two 15, given in meV/atom

Version one
Pm12Dy5Tm2 PBE optimized geometry; M_tot = 0.00 μB per formula unit; D(E_F) = 27.3 states/eV/f.u.
1.0
-5.4050 5.1484 -5.4714
-1.9392 -8.8690 1.3979
-4.7150 2.4080 6.9236
Pm Dy Tm
12 5 2
Cartesian
-4.9117 1.1042 5.8910
-6.0213 -2.8918 0.1606
-8.5586 -0.9188 2.6076
-7.1475 -2.4167 -3.0410
-6.0379 1.5792 2.6894
-8.1554 3.5961 0.5460
-3.5006 -0.3938 0.2424
-6.9410 2.8833 -3.2403
-5.1182 -4.1959 6.0903
-3.9038 -4.9087 2.3041
-7.1866 -3.9528 3.3800
-4.8726 2.6402 -0.5299
-2.3575 1.2040 3.4618
-4.8212 -1.5417 3.3120
-7.2379 0.2291 -0.4620
-4.7095 0.0906 -3.0900
-7.3497 -1.4032 5.9401
-3.6273 3.4551 -3.6719
-1.7777 1.6933 -1.7996

Version two
Pm12Dy5Tm2 PBE optimized geometry; M_tot = 0.00 μB per formula unit; D(E_F) = 27.4 states/eV/f.u.
1.0
-10.9709 -4.0513 -0.2133
6.3075 0.2584 -8.6063
1.9029 -5.2922 2.6404
Pm Dy Tm
12 5 2
Cartesian
-0.6461 -6.3008 -3.2247
-7.4551 -4.7565 -3.0584
4.6946 -4.3286 -3.1208
4.1306 -2.4104 -5.8485
-2.9620 -8.6479 -4.1178
-1.3898 -4.6433 -0.2238
2.1126 -5.4140 -5.8287
-6.8911 -6.6747 -0.3307
0.2015 -0.4372 -2.0614
-2.1144 -2.7843 -2.9545
-1.3707 -4.4418 -5.9555
-4.8731 -3.6711 -0.3505
-3.5571 -7.2045 -0.9280
0.9515 -2.6461 1.3202
0.7966 -1.8806 -5.2512
-4.1735 -5.3798 -3.8798
1.4130 -3.7053 -2.2995
-2.5452 -0.9399 -0.0495
-8.4257 -3.1114 -0.1638

Calculated relative energies: version one 17; version two 0, given in meV/atom

Version one
Pm7Dy12Tm PBE optimized geometry; M_tot = 0.00 μB per formula unit; D(E_F) = 26.5 states/eV/f.u.
1.0
-7.6430 6.0308 0.9353
-3.1741 -9.2404 -0.4487
5.9342 1.0383 7.7051
Pm Dy Tm
7 12 1
Cartesian
1.3801 -4.1011 3.6282
-1.5870 -4.6202 -0.2244
-5.4085 -1.6048 0.2433
-3.8215 3.0154 0.4677
-0.8544 3.5345 4.3202
2.9671 0.5191 3.8525
-2.4414 -1.0857 4.0958
-3.0757 0.9522 2.2462
0.2600 -0.2838 3.9069
-1.8072 -3.1235 5.9455
2.5942 2.2615 6.0437
-7.4770 -4.4328 2.1479
-0.9396 -6.7126 1.5586
-5.1428 -1.8876 4.2847
-1.9851 -2.8033 1.9009
-6.5442 2.2767 0.6006
-3.9433 4.5412 6.6331
-2.8978 0.6319 6.2908
1.6613 -4.4481 7.5911
0.0000 0.0000 0.0000

Version two
Pm7Dy12Tm PBE optimized geometry; M_tot = 0.00 μB per formula unit; D(E_F) = 36.4 states/eV/f.u.
1.0
8.4582 1.2919 1.9391
-1.1109 8.4839 1.9391
-1.1109 -1.4781 8.5762
Dy Pm Tm
12 7 1
Cartesian
1.3018 0.4851 7.2295
1.7257 7.0923 6.7358
2.8672 2.6266 9.1395
0.3691 5.2439 9.2222
6.1323 2.1595 8.3914
4.9345 7.8125 5.2249
-0.0964 3.4795 6.5103
5.8672 3.0537 3.2322
4.5106 1.2053 5.7186
0.1040 6.1382 4.0630
3.3691 5.6711 3.3149
6.3328 4.8181 5.9441
5.4662 4.8336 10.7061
0.0541 0.8175 3.8701
6.1823 7.4802 8.5843
3.1182 4.1488 6.2272
3.1231 7.3402 10.2094
3.1132 0.9575 2.2450
0.7702 3.4640 1.7483
0.0000 0.0000 0.0000

Calculated relative energies: version one 419; version two 0, given in meV/atom

Version one
PmDy12Tm6 PBE optimized geometry; M_tot = 0.00 μB per formula unit; D(E_F) = 25.0 states/eV/f.u.
1.0
8.8804 -0.4188 -2.5407
-3.2582 8.2717 -2.5407
-0.2998 -0.4188 9.2318
Tm Dy Pm
6 12 1
Cartesian
1.5341 2.1427 5.1719
5.3898 2.1427 0.2273
0.2915 5.7928 0.2273
5.0308 1.6413 3.9230
-0.0675 5.2913 3.9230
3.7883 5.2913 -1.0216
2.6554 6.5259 2.0707
7.3815 0.3375 2.0752
1.5107 7.0965 -2.5029
0.0003 2.8173 2.0797
2.0170 2.8173 -0.5066
-2.0592 7.0965 2.0752
-0.9088 3.7170 6.6532
5.3220 4.6167 2.0707
3.3053 4.6167 4.6569
2.6669 0.9082 2.0797
3.8116 0.3376 6.6532
6.2311 3.7170 -2.5029
0.0000 0.0000 0.0000

Version two
PmDy12Tm6 PBE optimized geometry; M_tot = 0.00 μB per formula unit; D(E_F) = 33.6 states/eV/f.u.
1.0
8.4000 0.7184 0.8606
-0.5634 8.4118 0.8606
-0.5634 -0.6564 8.4302
Tm Pm Dy
6 1 12
Cartesian
0.2606 5.7096 2.8434
5.5559 7.9468 4.0256
1.7173 0.5270 6.1258
7.0126 2.7642 7.3080
1.6691 5.8769 8.5382
5.6041 2.5969 1.6132
0.0000 0.0000 0.0000
3.8736 3.5361 7.3779
-0.2300 1.5035 3.2051
4.3869 8.2638 8.0994
5.9634 4.8335 4.7975
7.5032 6.9703 6.9464
3.3996 4.9378 2.7736
1.5210 3.1534 0.5734
1.3098 3.6403 5.3539
2.8863 0.2101 2.0521
5.7522 5.3205 9.5781
4.3653 1.9947 4.5384
2.9079 6.4792 5.6130

Calculated relative energies: version one 282; version two 0, given in meV/atom

Version one
Pm5Dy2Tm PBE optimized geometry; M_tot = 0.00 μB per formula unit; D(E_F) = 11.6 states/eV/f.u.
1.0
9.9413 -1.6331 5.6710
-2.0595 8.7075 4.3423
3.5559 2.4757 10.4603
Pm Dy Tm
10 4 2
Cartesian
5.6782 0.9566 6.5938
5.4541 6.2898 11.1149
7.4350 4.9300 14.0373
10.6586 0.9563 10.9631
10.5409 6.4113 15.2582
2.4729 4.5121 9.8781
8.5412 4.9716 10.6269
8.7233 2.5343 8.0053
3.8638 7.2824 8.2139
5.4264 8.2028 14.0756
7.3690 2.1235 12.0547
0.7305 5.4656 7.1435
5.5704 3.1144 9.4278
3.8776 4.1983 6.5430
0.6792 0.9021 2.3237
10.4799 8.3792 18.1931

Version two
Pm5Dy2Tm PBE optimized geometry; M_tot = 0.00 μB per formula unit; D(E_F) = 11.3 states/eV/f.u.
1.0
-2.3974 4.4793 0.3005
-3.4649 -1.4418 -6.1512
-10.6634 -6.2079 7.4617
Pm Dy Tm
10 4 2
Cartesian
-11.4093 -3.5600 5.1394
-7.0642 -3.8248 0.6553
-10.4576 -2.7183 0.1856
-7.9860 -4.6487 5.5816
0.0000 0.0000 0.0000
-5.1164 0.3896 -3.5284
-6.1423 -3.0010 -4.2710
-4.3814 -2.2635 -1.2153
-6.0681 -0.4521 1.4255
-9.7469 -5.3862 2.5259
-7.8079 -1.1766 -1.6558
-8.7178 -1.9938 3.2669
-13.1403 -4.2808 2.0737
-3.3854 1.1104 -0.4626
-1.7325 -0.7209 -3.0756
-5.3317 -3.1039 3.7309

Calculated relative energies: version one 49; version two 0, given in meV/atom

Version one
Pm6Dy12Tm PBE optimized geometry; M_tot = 0.00 μB per formula unit; D(E_F) = 29.2 states/eV/f.u.
1.0
8.4306 1.3043 1.5626
0.0111 8.5309 1.5626
0.0111 0.0130 8.6728
Pm Dy Tm
6 12 1
Cartesian
6.4855 2.3909 8.1155
1.9658 2.2919 7.9953
1.3800 6.7746 8.1142
6.4871 7.5563 3.8026
7.0729 3.0736 3.6838
1.9674 7.4573 3.6824
7.2960 5.5067 9.6405
6.7914 5.1994 6.2299
1.1560 1.3477 4.6572
4.1109 7.5013 6.2289
1.1569 4.3415 2.1575
7.2969 8.5005 7.1408
1.6615 4.6489 5.5680
4.3420 2.3469 5.5690
4.3432 5.0590 3.3043
4.1160 1.8008 2.1582
4.3370 8.0474 9.6397
4.1097 4.7893 8.4936
0.0000 0.0000 0.0000

Version two
Pm6Dy12Tm PBE optimized geometry; M_tot = 0.00 μB per formula unit; D(E_F) = 31.2 states/eV/f.u.
1.0
9.0904 -1.2195 -2.0764
-2.3150 8.8749 -2.0764
-1.0793 -1.2195 9.2619
Dy Pm Tm
12 6 1
Cartesian
3.6998 4.1804 5.7505
3.3291 -0.7121 6.9689
3.4061 6.5801 3.0551
6.1175 4.1804 3.0551
-1.5924 7.1480 2.5545
2.3670 7.1480 -1.8598
-0.4213 2.2555 2.0540
-1.1114 3.2179 6.9689
2.2900 -0.1442 2.0540
1.9963 2.2555 -0.6414
7.2886 -0.7121 2.5545
6.8075 3.2179 -1.8598
4.2305 4.7799 -0.0627
5.3001 1.6560 0.8967
0.3960 4.7799 4.2124
0.9998 5.4621 0.8967
4.6964 0.9738 4.2124
1.4657 1.6560 5.1718
0.0000 0.0000 0.0000

Calculated relative energies: version one 0; version two 336, given in meV/atom

Version one
Pm5DyTm2 PBE optimized geometry; M_tot = 0.00 μB per formula unit; D(E_F) = 11.5 states/eV/f.u.
1.0
5.0830 0.0000 0.0000
0.0000 7.1869 0.0000
0.0000 0.0000 14.3781
Pm Tm Dy
10 4 2
Cartesian
0.0000 0.0000 0.0000
2.5415 1.7895 5.4019
0.0000 3.5935 7.1890
2.5415 5.3830 1.7871
0.0000 3.5911 3.5814
0.0000 3.5959 10.7966
0.0000 0.0024 10.7705
2.5415 5.3974 8.9761
2.5415 1.8040 12.5910
0.0000 7.1845 3.6076
2.5415 1.7987 1.7862
2.5415 5.3883 12.5918
2.5415 5.3922 5.4028
2.5415 1.7948 8.9753
0.0000 3.5935 0.0000
0.0000 0.0000 7.1890

Version two
Pm5DyTm2 PBE optimized geometry; M_tot = 0.00 μB per formula unit; D(E_F) = 12.4 states/eV/f.u.
1.0
8.5777 -2.3220 5.0758
-3.0771 8.3367 5.0758
1.5554 1.7008 11.3091
Pm Tm Dy
10 4 2
Cartesian
8.2405 -0.2610 11.4195
4.4838 3.7644 13.5576
8.8280 0.3814 15.6956
-1.1844 7.9765 10.0411
2.5722 3.9510 7.9030
1.8855 6.6471 15.3825
5.1705 1.0683 6.0781
5.6750 1.6199 9.7279
-1.7719 7.3341 5.7650
1.3811 6.0955 11.7327
4.2889 -1.1610 2.5379
-0.7609 5.0187 8.1924
3.5279 3.8578 10.7303
4.3057 4.7081 16.3848
-0.8089 8.6048 13.5576
7.8649 -0.8893 7.9030

Calculated relative energies: version one 0; version two 226, given in meV/atom